Arrangement w

Entry from Alexandria via LeMat-Bulk: a relaxed structure of GeMoP2S (PBE).

CIF file:
```
data_GeMoP2S
_space_group_name_H-M_alt 'P 1'
_space_group_IT_number 1
_cell_length_a 4.5959
_cell_length_b 4.5959
_cell_length_c 4.6521
_cell_angle_alpha 90.00
_cell_angle_beta 90.00
_cell_angle_gamma 90.00
loop_
_space_group_symop_operation_xyz
'x,y,z'
loop_
_atom_site_label
_atom_site_fract_x
_atom_site_fract_y
_atom_site_fract_z
P1 0.0000 0.5000 0.0000
P2 0.5000 0.0000 0.0000
S1 0.0000 0.0000 0.5000
Ge1 0.0000 0.0000 0.0000
Mo1 0.5000 0.5000 0.5000
```

Output
space group	P4/mmm
size of the total moment	2.43	Bohr magnetons per cell

Arrangement x

Entry from Alexandria via LeMat-Bulk: a relaxed structure of GeMoP2S (PBE).

CIF file:
```
data_GeMoP2S
_space_group_name_H-M_alt 'P 1'
_space_group_IT_number 1
_cell_length_a 4.6995
_cell_length_b 4.6995
_cell_length_c 4.7370
_cell_angle_alpha 90.00
_cell_angle_beta 90.00
_cell_angle_gamma 90.00
loop_
_space_group_symop_operation_xyz
'x,y,z'
loop_
_atom_site_label
_atom_site_fract_x
_atom_site_fract_y
_atom_site_fract_z
Ge1 0.5000 0.5000 0.5000
Mo1 0.0000 0.0000 0.0000
P1 0.5000 0.0000 0.0000
P2 0.0000 0.5000 0.0000
S1 0.0000 0.0000 0.5000
```

Output
space group	P4/mmm
size of the total moment	0.00	Bohr magnetons per cell

Arrangement y

Entry from Alexandria via LeMat-Bulk: a relaxed structure of GeMoP2S (PBE).

CIF file:
```
data_GeMoP2S
_space_group_name_H-M_alt 'P 1'
_space_group_IT_number 1
_cell_length_a 4.6167
_cell_length_b 4.4656
_cell_length_c 4.6167
_cell_angle_alpha 90.00
_cell_angle_beta 90.00
_cell_angle_gamma 90.00
loop_
_space_group_symop_operation_xyz
'x,y,z'
loop_
_atom_site_label
_atom_site_fract_x
_atom_site_fract_y
_atom_site_fract_z
P1 0.5000 0.0000 0.0000
P2 0.0000 0.0000 0.5000
Mo1 0.0000 0.5000 0.0000
Ge1 0.5000 0.5000 0.5000
S1 0.0000 0.0000 0.0000
```

Output
space group	P4/mmm
size of the total moment	0.87	Bohr magnetons per cell

Stability ranking, top entry: arrangement x; the second entry is 530 meV per atom less favorable.

Arrangement w

Entry from Alexandria via LeMat-Bulk: a relaxed structure of GeMo2Pb (PBE).

CIF file:
```
data_GeMo2Pb
_space_group_name_H-M_alt 'P 1'
_space_group_IT_number 1
_cell_length_a 4.6369
_cell_length_b 4.6369
_cell_length_c 4.6369
_cell_angle_alpha 60.00
_cell_angle_beta 60.00
_cell_angle_gamma 60.00
loop_
_space_group_symop_operation_xyz
'x,y,z'
loop_
_atom_site_label
_atom_site_fract_x
_atom_site_fract_y
_atom_site_fract_z
Ge1 0.0000 0.0000 0.0000
Pb1 0.5000 0.5000 0.5000
Mo1 0.2500 0.2500 0.2500
Mo2 0.7500 0.7500 0.7500
```

Output
space group	Fm-3m
size of the total moment	0.00	Bohr magnetons per cell

Arrangement x

Entry from Alexandria via LeMat-Bulk: a relaxed structure of GeMo2Pb (PBE).

CIF file:
```
data_GeMo2Pb
_space_group_name_H-M_alt 'P 1'
_space_group_IT_number 1
_cell_length_a 4.1590
_cell_length_b 4.1590
_cell_length_c 9.9673
_cell_angle_alpha 77.96
_cell_angle_beta 77.96
_cell_angle_gamma 90.00
loop_
_space_group_symop_operation_xyz
'x,y,z'
loop_
_atom_site_label
_atom_site_fract_x
_atom_site_fract_y
_atom_site_fract_z
Ge1 0.2500 0.7500 0.5000
Ge2 0.5000 0.5000 0.0000
Mo1 0.2051 0.6250 0.2500
Mo2 0.5449 0.1250 0.2500
Mo3 0.3750 0.4551 0.7500
Mo4 0.8750 0.7949 0.7500
Pb1 0.7500 0.2500 0.5000
Pb2 0.0000 0.0000 0.0000
```

Output
space group	I-42d
size of the total moment	0.00	Bohr magnetons per cell

Stability ranking, top entry: arrangement w; the second entry is 99 meV per atom less favorable.

Arrangement w

Entry from Alexandria via LeMat-Bulk: a relaxed structure of GeMoPb3 (PBE).

CIF file:
```
data_GeMoPb3
_space_group_name_H-M_alt 'P 1'
_space_group_IT_number 1
_cell_length_a 5.4127
_cell_length_b 5.4127
_cell_length_c 5.4127
_cell_angle_alpha 90.00
_cell_angle_beta 90.00
_cell_angle_gamma 90.00
loop_
_space_group_symop_operation_xyz
'x,y,z'
loop_
_atom_site_label
_atom_site_fract_x
_atom_site_fract_y
_atom_site_fract_z
Pb1 0.0000 0.0000 0.5000
Pb2 0.5000 0.0000 0.0000
Pb3 0.0000 0.5000 0.0000
Ge1 0.5000 0.5000 0.5000
Mo1 0.0000 0.0000 0.0000
```

Output
space group	Pm-3m
size of the total moment	2.39	Bohr magnetons per cell

Arrangement x

Entry from Alexandria via LeMat-Bulk: a relaxed structure of GeMoPb3 (PBE).

CIF file:
```
data_GeMoPb3
_space_group_name_H-M_alt 'P 1'
_space_group_IT_number 1
_cell_length_a 5.4763
_cell_length_b 5.4763
_cell_length_c 5.4763
_cell_angle_alpha 90.00
_cell_angle_beta 90.00
_cell_angle_gamma 90.00
loop_
_space_group_symop_operation_xyz
'x,y,z'
loop_
_atom_site_label
_atom_site_fract_x
_atom_site_fract_y
_atom_site_fract_z
Pb1 0.0000 0.0000 0.5000
Pb2 0.5000 0.0000 0.0000
Pb3 0.0000 0.5000 0.0000
Ge1 0.0000 0.0000 0.0000
Mo1 0.5000 0.5000 0.5000
```

Output
space group	Pm-3m
size of the total moment	4.27	Bohr magnetons per cell

Stability ranking, top entry: arrangement w; the second entry is 453 meV per atom less favorable.

Arrangement w

Entry from Alexandria via LeMat-Bulk: a relaxed structure of PmGe2Mo (PBE).

CIF file:
```
data_PmGe2Mo
_space_group_name_H-M_alt 'P 1'
_space_group_IT_number 1
_cell_length_a 4.5871
_cell_length_b 7.0614
_cell_length_c 5.5024
_cell_angle_alpha 102.17
_cell_angle_beta 108.50
_cell_angle_gamma 77.77
loop_
_space_group_symop_operation_xyz
'x,y,z'
loop_
_atom_site_label
_atom_site_fract_x
_atom_site_fract_y
_atom_site_fract_z
Ge1 0.4025 0.1342 0.3368
Ge2 0.5975 0.8658 0.6632
Ge3 0.0975 0.3657 0.6630
Ge4 0.9025 0.6343 0.3370
Pm1 0.2499 0.7500 0.0000
Pm2 0.7501 0.2500 0.0000
Mo1 0.0000 0.0000 0.5000
Mo2 0.5000 0.5000 0.5000
```

Output
space group	P-1
size of the total moment	0.00	Bohr magnetons per cell

Arrangement x

Entry from Alexandria via LeMat-Bulk: a relaxed structure of PmGe2Mo (PBE).

CIF file:
```
data_PmGe2Mo
_space_group_name_H-M_alt 'P 1'
_space_group_IT_number 1
_cell_length_a 3.0187
_cell_length_b 3.0187
_cell_length_c 10.6303
_cell_angle_alpha 81.84
_cell_angle_beta 81.84
_cell_angle_gamma 60.00
loop_
_space_group_symop_operation_xyz
'x,y,z'
loop_
_atom_site_label
_atom_site_fract_x
_atom_site_fract_y
_atom_site_fract_z
Ge1 0.9176 0.9176 0.2472
Ge2 0.0824 0.0824 0.7528
Mo1 0.0000 0.0000 0.0000
Pm1 0.5000 0.5000 0.5000
```

Output
space group	R-3m
size of the total moment	0.00	Bohr magnetons per cell

Arrangement y

Entry from Alexandria via LeMat-Bulk: a relaxed structure of PmGe2Mo (PBE).

CIF file:
```
data_PmGe2Mo
_space_group_name_H-M_alt 'P 1'
_space_group_IT_number 1
_cell_length_a 3.3442
_cell_length_b 3.3442
_cell_length_c 6.8489
_cell_angle_alpha 90.00
_cell_angle_beta 90.00
_cell_angle_gamma 90.00
loop_
_space_group_symop_operation_xyz
'x,y,z'
loop_
_atom_site_label
_atom_site_fract_x
_atom_site_fract_y
_atom_site_fract_z
Ge1 0.0000 0.0000 0.3039
Ge2 0.0000 0.0000 0.6961
Mo1 0.5000 0.5000 0.5000
Pm1 0.5000 0.5000 0.0000
```

Output
space group	P4/mmm
size of the total moment	0.00	Bohr magnetons per cell

Stability ranking, top entry: arrangement w; the second entry is 80 meV per atom less favorable.

Arrangement w

Entry from Alexandria via LeMat-Bulk: a relaxed structure of Ge2MoPt (PBE).

CIF file:
```
data_Ge2MoPt
_space_group_name_H-M_alt 'P 1'
_space_group_IT_number 1
_cell_length_a 6.8360
_cell_length_b 6.8360
_cell_length_c 5.6759
_cell_angle_alpha 52.97
_cell_angle_beta 52.97
_cell_angle_gamma 90.00
loop_
_space_group_symop_operation_xyz
'x,y,z'
loop_
_atom_site_label
_atom_site_fract_x
_atom_site_fract_y
_atom_site_fract_z
Pt1 0.7500 0.2500 0.5000
Pt2 0.0000 0.0000 0.0000
Ge1 0.3750 0.3598 0.7500
Ge2 0.8750 0.8902 0.7500
Ge3 0.6402 0.1250 0.2500
Ge4 0.1098 0.6250 0.2500
Mo1 0.5000 0.5000 0.0000
Mo2 0.2500 0.7500 0.5000
```

Output
space group	I-42d
size of the total moment	0.00	Bohr magnetons per cell

Arrangement x

Entry from Alexandria via LeMat-Bulk: a relaxed structure of Ge2MoPt (PBE).

CIF file:
```
data_Ge2MoPt
_space_group_name_H-M_alt 'P 1'
_space_group_IT_number 1
_cell_length_a 4.4301
_cell_length_b 4.4301
_cell_length_c 4.4301
_cell_angle_alpha 60.00
_cell_angle_beta 60.00
_cell_angle_gamma 60.00
loop_
_space_group_symop_operation_xyz
'x,y,z'
loop_
_atom_site_label
_atom_site_fract_x
_atom_site_fract_y
_atom_site_fract_z
Mo1 0.0000 0.0000 0.0000
Pt1 0.5000 0.5000 0.5000
Ge1 0.7500 0.7500 0.7500
Ge2 0.2500 0.2500 0.2500
```

Output
space group	Fm-3m
size of the total moment	0.00	Bohr magnetons per cell

Arrangement y

Entry from Alexandria via LeMat-Bulk: a relaxed structure of Ge2MoPt (PBE).

CIF file:
```
data_Ge2MoPt
_space_group_name_H-M_alt 'P 1'
_space_group_IT_number 1
_cell_length_a 3.2854
_cell_length_b 4.3256
_cell_length_c 4.3256
_cell_angle_alpha 90.00
_cell_angle_beta 90.00
_cell_angle_gamma 90.00
loop_
_space_group_symop_operation_xyz
'x,y,z'
loop_
_atom_site_label
_atom_site_fract_x
_atom_site_fract_y
_atom_site_fract_z
Ge1 0.0000 0.0000 0.5000
Ge2 0.0000 0.5000 0.0000
Mo1 0.5000 0.5000 0.5000
Pt1 0.5000 0.0000 0.0000
```

Output
space group	P4/mmm
size of the total moment	0.00	Bohr magnetons per cell

Stability ranking, top entry: arrangement y; the second entry is 113 meV per atom less favorable.

Arrangement w

Entry from Alexandria via LeMat-Bulk: a relaxed structure of Pu2GeMo (PBE).

CIF file:
```
data_Pu2GeMo
_space_group_name_H-M_alt 'P 1'
_space_group_IT_number 1
_cell_length_a 3.7747
_cell_length_b 3.7747
_cell_length_c 5.6800
_cell_angle_alpha 90.00
_cell_angle_beta 90.00
_cell_angle_gamma 90.00
loop_
_space_group_symop_operation_xyz
'x,y,z'
loop_
_atom_site_label
_atom_site_fract_x
_atom_site_fract_y
_atom_site_fract_z
Ge1 0.5000 0.5000 0.5000
Pu1 0.0000 0.0000 0.2583
Pu2 0.0000 0.0000 0.7417
Mo1 0.5000 0.5000 0.0000
```

Output
space group	P4/mmm
size of the total moment	8.60	Bohr magnetons per cell

Arrangement x

Entry from Alexandria via LeMat-Bulk: a relaxed structure of Pu2GeMo (PBE).

CIF file:
```
data_Pu2GeMo
_space_group_name_H-M_alt 'P 1'
_space_group_IT_number 1
_cell_length_a 5.2155
_cell_length_b 3.5819
_cell_length_c 3.5819
_cell_angle_alpha 90.00
_cell_angle_beta 90.00
_cell_angle_gamma 90.00
loop_
_space_group_symop_operation_xyz
'x,y,z'
loop_
_atom_site_label
_atom_site_fract_x
_atom_site_fract_y
_atom_site_fract_z
Mo1 0.5000 0.0000 0.0000
Pu1 0.0000 0.5000 0.0000
Pu2 0.0000 0.0000 0.5000
Ge1 0.5000 0.5000 0.5000
```

Output
space group	P4/mmm
size of the total moment	0.49	Bohr magnetons per cell

Stability ranking, top entry: arrangement w; the second entry is 310 meV per atom less favorable.